This record from Alexandria via LeMat-Bulk describes a relaxed structure of CoCl. The functional is PBE.

```
data_CoCl
_cell_length_a 11.132
_cell_length_b 11.132
_cell_length_c 3.266
_cell_angle_alpha 90.00
_cell_angle_beta 90.00
_cell_angle_gamma 90.00
_space_group_name_H-M_alt 'I 4/m'
_space_group_IT_number 87
_space_group_name_Hall '-I 4'
loop_
_atom_site_label
_atom_site_type_symbol
_atom_site_fract_x
_atom_site_fract_y
_atom_site_fract_z
_atom_site_occupancy
Co1 Co 0.030 0.609 0.000 1
Cl1 Cl 0.068 0.748 0.500 1
```

Results
- total DFT energy (no corrections) (eV per atom) = -4.70
- formation energy without anion corrections (kJ/mol of formula units) = -43

***

This record from Alexandria via LeMat-Bulk describes a relaxed structure of InCo2Cl. The functional is PBE.

```
data_InCo2Cl
_cell_length_a 2.914
_cell_length_b 5.355
_cell_length_c 8.314
_cell_angle_alpha 90.00
_cell_angle_beta 90.00
_cell_angle_gamma 90.00
_space_group_name_H-M_alt 'I m m m'
_space_group_IT_number 71
_space_group_name_Hall '-I 2 2'
loop_
_atom_site_label
_atom_site_type_symbol
_atom_site_fract_x
_atom_site_fract_y
_atom_site_fract_z
_atom_site_occupancy
In1 In 0.000 0.000 0.000 1
Co1 Co 0.000 0.500 0.229 1
Cl1 Cl 0.000 0.000 0.500 1
```

Results
- total DFT energy (no corrections) (eV per atom) = -4.27
- formation energy without anion corrections (kJ/mol of formula units) = 164
- E above lowest polymorph (eV/atom) = 0.2761

***

This record from Alexandria via LeMat-Bulk describes a relaxed structure of ZrPPtCl2. The functional is PBE.

```
data_ZrPPtCl2
_cell_length_a 4.831
_cell_length_b 4.831
_cell_length_c 5.323
_cell_angle_alpha 90.00
_cell_angle_beta 90.00
_cell_angle_gamma 90.00
_space_group_name_H-M_alt 'P 4/m m m'
_space_group_IT_number 123
_space_group_name_Hall '-P 4 2'
loop_
_atom_site_label
_atom_site_type_symbol
_atom_site_fract_x
_atom_site_fract_y
_atom_site_fract_z
_atom_site_occupancy
Zr1 Zr 0.000 0.000 0.000 1
P1 P 0.000 0.000 0.500 1
Pt1 Pt 0.500 0.500 0.500 1
Cl1 Cl 0.000 0.500 0.000 1
```

Results
- total DFT energy (no corrections) (eV per atom) = -4.69
- formation energy without anion corrections (kJ/mol of formula units) = 23
- E above lowest polymorph (eV/atom) = 0.0000

***

This record from Alexandria via LeMat-Bulk describes a relaxed structure of SnSe3O. The functional is PBE.

```
data_SnSe3O
_cell_length_a 5.263
_cell_length_b 5.263
_cell_length_c 5.263
_cell_angle_alpha 90.00
_cell_angle_beta 90.00
_cell_angle_gamma 90.00
_space_group_name_H-M_alt 'P m -3 m'
_space_group_IT_number 221
_space_group_name_Hall '-P 4 2 3'
loop_
_atom_site_label
_atom_site_type_symbol
_atom_site_fract_x
_atom_site_fract_y
_atom_site_fract_z
_atom_site_occupancy
Sn1 Sn 0.000 0.000 0.000 1
Se1 Se 0.000 0.000 0.500 1
O1 O 0.500 0.500 0.500 1
```

Results
- total DFT energy (no corrections) (eV per atom) = -2.75
- formation energy without anion corrections (kJ/mol of formula units) = 546
- E above lowest polymorph (eV/atom) = 0.9352

***

This record from Alexandria via LeMat-Bulk describes a relaxed structure of SrLa2YP. The functional is PBE.

```
data_SrLa2YP
_cell_length_a 5.834
_cell_length_b 5.834
_cell_length_c 5.454
_cell_angle_alpha 90.00
_cell_angle_beta 90.00
_cell_angle_gamma 90.00
_space_group_name_H-M_alt 'P 4/m m m'
_space_group_IT_number 123
_space_group_name_Hall '-P 4 2'
loop_
_atom_site_label
_atom_site_type_symbol
_atom_site_fract_x
_atom_site_fract_y
_atom_site_fract_z
_atom_site_occupancy
Sr1 Sr 0.000 0.000 0.000 1
La1 La 0.000 0.500 0.500 1
Y1 Y 0.500 0.500 0.000 1
P1 P 0.500 0.500 0.500 1
```

Results
- total DFT energy (no corrections) (eV per atom) = -5.15
- ΔH_f (0 K) (meV per atom) = -467.7

***

This record from Alexandria via LeMat-Bulk describes a relaxed structure of SrCaY2Rh. The functional is PBE.

```
data_SrCaY2Rh
_cell_length_a 5.404
_cell_length_b 5.404
_cell_length_c 5.590
_cell_angle_alpha 90.00
_cell_angle_beta 90.00
_cell_angle_gamma 90.00
_space_group_name_H-M_alt 'P 4/m m m'
_space_group_IT_number 123
_space_group_name_Hall '-P 4 2'
loop_
_atom_site_label
_atom_site_type_symbol
_atom_site_fract_x
_atom_site_fract_y
_atom_site_fract_z
_atom_site_occupancy
Sr1 Sr 0.000 0.000 0.000 1
Ca1 Ca 0.000 0.000 0.500 1
Y1 Y 0.000 0.500 0.500 1
Rh1 Rh 0.500 0.500 0.000 1
```

Results
- total DFT energy (no corrections) (eV per atom) = -3.38
- E above lowest polymorph (eV/atom) = 1.7012
- ΔH_f (0 K) (meV per atom) = 1412.1

***

This record from Alexandria via LeMat-Bulk describes a relaxed structure of CeMgCd6. The functional is PBE.

```
data_CeMgCd6
_cell_length_a 4.665
_cell_length_b 4.665
_cell_length_c 9.339
_cell_angle_alpha 90.00
_cell_angle_beta 90.00
_cell_angle_gamma 90.00
_space_group_name_H-M_alt 'P 4/m m m'
_space_group_IT_number 123
_space_group_name_Hall '-P 4 2'
loop_
_atom_site_label
_atom_site_type_symbol
_atom_site_fract_x
_atom_site_fract_y
_atom_site_fract_z
_atom_site_occupancy
Ce1 Ce 0.000 0.000 0.000 1
Mg1 Mg 0.000 0.000 0.500 1
Cd1 Cd 0.000 0.500 0.322 1
Cd2 Cd 0.500 0.500 0.144 1
```

Results
- total DFT energy (no corrections) (eV per atom) = -1.66
- ΔH_f (0 K) (meV per atom) = -32.1

***

This record from Alexandria via LeMat-Bulk describes a relaxed structure of Na2AlHg4. The functional is PBE.

```
data_Na2AlHg4
_cell_length_a 5.205
_cell_length_b 5.205
_cell_length_c 15.863
_cell_angle_alpha 90.00
_cell_angle_beta 90.00
_cell_angle_gamma 90.00
_space_group_name_H-M_alt 'I 4/m m m'
_space_group_IT_number 139
_space_group_name_Hall '-I 4 2'
loop_
_atom_site_label
_atom_site_type_symbol
_atom_site_fract_x
_atom_site_fract_y
_atom_site_fract_z
_atom_site_occupancy
Na1 Na 0.000 0.000 0.126 1
Al1 Al 0.000 0.000 0.500 1
Hg1 Hg 0.000 0.000 0.315 1
Hg2 Hg 0.000 0.500 0.000 1
```

Results
- total DFT energy (no corrections) (eV per atom) = -1.13
- ΔH_f (0 K) (meV per atom) = -43.8

***

This record from Alexandria via LeMat-Bulk describes a relaxed structure of KMnNi. The functional is PBE.

```
data_KMnNi
_cell_length_a 4.007
_cell_length_b 4.008
_cell_length_c 11.081
_cell_angle_alpha 84.76
_cell_angle_beta 85.12
_cell_angle_gamma 60.06
_space_group_name_H-M_alt 'P -1'
_space_group_IT_number 2
loop_
_space_group_symop_operation_xyz
'x,y,z'
'-x,-y,-z'
loop_
_atom_site_label
_atom_site_type_symbol
_atom_site_fract_x
_atom_site_fract_y
_atom_site_fract_z
_atom_site_occupancy
K1 K 0.212 0.222 0.189 1
Mn1 Mn 0.487 0.485 0.584 1
Ni1 Ni 0.159 0.157 0.551 1
```

Results
- total DFT energy (no corrections) (eV per atom) = -4.74
- E above lowest polymorph (eV/atom) = 0.2429
- ΔH_f (0 K) (meV per atom) = 604.8

***

This record from Alexandria via LeMat-Bulk describes a relaxed structure of Np2Be4Si3Au. The functional is PBE.

```
data_Np2Be4Si3Au
_cell_length_a 3.891
_cell_length_b 3.891
_cell_length_c 9.733
_cell_angle_alpha 90.00
_cell_angle_beta 90.00
_cell_angle_gamma 90.00
_space_group_name_H-M_alt 'P -4 m 2'
_space_group_IT_number 115
loop_
_space_group_symop_operation_xyz
'x,y,z'
'y,-x,-z'
'-x,-y,z'
'-y,x,-z'
'-x,y,z'
'-y,-x,-z'
'x,-y,z'
'y,x,-z'
loop_
_atom_site_label
_atom_site_type_symbol
_atom_site_fract_x
_atom_site_fract_y
_atom_site_fract_z
_atom_site_occupancy
Np1 Np 0.000 0.500 0.238 1
Be1 Be 0.000 0.000 0.000 1
Be2 Be 0.000 0.500 0.640 1
Be3 Be 0.500 0.500 0.000 1
Si1 Si 0.000 0.500 0.870 1
Si2 Si 0.500 0.500 0.500 1
Au1 Au 0.000 0.000 0.500 1
```

Results
- total DFT energy (no corrections) (eV per atom) = -6.23
- formation energy without anion corrections (kJ/mol of formula units) = -187

***

This record from Alexandria via LeMat-Bulk describes a relaxed structure of Bi4PdAu. The functional is PBE.

```
data_Bi4PdAu
_cell_length_a 7.055
_cell_length_b 7.055
_cell_length_c 12.739
_cell_angle_alpha 90.00
_cell_angle_beta 90.00
_cell_angle_gamma 90.00
_space_group_name_H-M_alt 'I 4/m c m'
_space_group_IT_number 140
_space_group_name_Hall '-I 4 2c'
loop_
_atom_site_label
_atom_site_type_symbol
_atom_site_fract_x
_atom_site_fract_y
_atom_site_fract_z
_atom_site_occupancy
Bi1 Bi 0.164 0.336 0.132 1
Pd1 Pd 0.000 0.000 0.250 1
Au1 Au 0.000 0.000 0.000 1
```

Results
- total DFT energy (no corrections) (eV per atom) = -4.10
- E above lowest polymorph (eV/atom) = 0.0145
- ΔH_f (0 K) (meV per atom) = -99.3

***

This record from Alexandria via LeMat-Bulk describes a relaxed structure of Rb2PrCl6. The functional is PBE.

```
data_Rb2PrCl6
_cell_length_a 4.464
_cell_length_b 14.591
_cell_length_c 8.399
_cell_angle_alpha 90.00
_cell_angle_beta 90.00
_cell_angle_gamma 90.00
_space_group_name_H-M_alt 'A m m 2'
_space_group_IT_number 38
loop_
_space_group_symop_operation_xyz
'x,y,z'
'-x,-y,z'
'-x,y,z'
'x,-y,z'
'x,y+1/2,z+1/2'
'-x,-y+1/2,z+1/2'
'-x,y+1/2,z+1/2'
'x,-y+1/2,z+1/2'
loop_
_atom_site_label
_atom_site_type_symbol
_atom_site_fract_x
_atom_site_fract_y
_atom_site_fract_z
_atom_site_occupancy
Rb1 Rb 0.000 0.167 0.000 1
Pr1 Pr 0.500 0.000 0.501 1
Cl1 Cl 0.000 0.000 0.733 1
Cl2 Cl 0.000 0.116 0.385 1
Cl3 Cl 0.500 0.000 0.156 1
Cl4 Cl 0.500 0.173 0.673 1
```

Results
- total DFT energy (no corrections) (eV per atom) = -3.80
- formation energy without anion corrections (kJ/mol of formula units) = -1585

***

This record from Alexandria via LeMat-Bulk describes a relaxed structure of Si2HgSe. The functional is PBE.

```
data_Si2HgSe
_cell_length_a 4.837
_cell_length_b 4.837
_cell_length_c 3.376
_cell_angle_alpha 90.00
_cell_angle_beta 90.00
_cell_angle_gamma 90.00
_space_group_name_H-M_alt 'P 4/m m m'
_space_group_IT_number 123
_space_group_name_Hall '-P 4 2'
loop_
_atom_site_label
_atom_site_type_symbol
_atom_site_fract_x
_atom_site_fract_y
_atom_site_fract_z
_atom_site_occupancy
Si1 Si 0.000 0.500 0.000 1
Hg1 Hg 0.000 0.000 0.500 1
Se1 Se 0.500 0.500 0.500 1
```

Results
- total DFT energy (no corrections) (eV per atom) = -3.07
- formation energy without anion corrections (kJ/mol of formula units) = 228
- E above lowest polymorph (eV/atom) = 0.4401

***

This record from Alexandria via LeMat-Bulk describes a relaxed structure of Nd2Zn3Pd4Au. The functional is PBE.

```
data_Nd2Zn3Pd4Au
_cell_length_a 4.143
_cell_length_b 4.143
_cell_length_c 11.403
_cell_angle_alpha 90.00
_cell_angle_beta 90.00
_cell_angle_gamma 90.00
_space_group_name_H-M_alt 'P -4 m 2'
_space_group_IT_number 115
loop_
_space_group_symop_operation_xyz
'x,y,z'
'y,-x,-z'
'-x,-y,z'
'-y,x,-z'
'-x,y,z'
'-y,-x,-z'
'x,-y,z'
'y,x,-z'
loop_
_atom_site_label
_atom_site_type_symbol
_atom_site_fract_x
_atom_site_fract_y
_atom_site_fract_z
_atom_site_occupancy
Nd1 Nd 0.000 0.500 0.246 1
Zn1 Zn 0.000 0.500 0.872 1
Zn2 Zn 0.500 0.500 0.500 1
Pd1 Pd 0.000 0.000 0.000 1
Pd2 Pd 0.000 0.500 0.655 1
Pd3 Pd 0.500 0.500 0.000 1
Au1 Au 0.000 0.000 0.500 1
```

Results
- total DFT energy (no corrections) (eV per atom) = -4.35
- ΔH_f (0 K) (meV per atom) = -611.3

***

This record from Alexandria via LeMat-Bulk describes a relaxed structure of HfTiSeN2. The functional is PBE.

```
data_HfTiSeN2
_cell_length_a 3.909
_cell_length_b 3.909
_cell_length_c 4.920
_cell_angle_alpha 90.00
_cell_angle_beta 90.00
_cell_angle_gamma 90.00
_space_group_name_H-M_alt 'P 4/m m m'
_space_group_IT_number 123
_space_group_name_Hall '-P 4 2'
loop_
_atom_site_label
_atom_site_type_symbol
_atom_site_fract_x
_atom_site_fract_y
_atom_site_fract_z
_atom_site_occupancy
Hf1 Hf 0.000 0.000 0.000 1
Ti1 Ti 0.500 0.500 0.500 1
Se1 Se 0.500 0.500 0.000 1
N1 N 0.000 0.500 0.500 1
```

Results
- total DFT energy (no corrections) (eV per atom) = -7.73
- formation energy without anion corrections (kJ/mol of formula units) = -62
- E above lowest polymorph (eV/atom) = 0.0000

***

This record from Alexandria via LeMat-Bulk describes a relaxed structure of ZrMnPbS4. The functional is PBE.

```
data_ZrMnPbS4
_cell_length_a 6.424
_cell_length_b 6.761
_cell_length_c 7.950
_cell_angle_alpha 90.00
_cell_angle_beta 107.63
_cell_angle_gamma 90.00
_space_group_name_H-M_alt 'P 1 21/m 1'
_space_group_IT_number 11
loop_
_space_group_symop_operation_xyz
'x,y,z'
'-x,-y,-z'
'-x,y+1/2,-z'
'x,-y+1/2,z'
loop_
_atom_site_label
_atom_site_type_symbol
_atom_site_fract_x
_atom_site_fract_y
_atom_site_fract_z
_atom_site_occupancy
Zr1 Zr 0.196 0.250 0.046 1
Mn1 Mn 0.252 0.750 0.829 1
Pb1 Pb 0.242 0.250 0.551 1
S1 S 0.013 0.505 0.208 1
S2 S 0.482 0.750 0.655 1
S3 S 0.494 0.250 0.897 1
```

Results
- total DFT energy (no corrections) (eV per atom) = -6.26
- formation energy without anion corrections (kJ/mol of formula units) = -567

***

This record from Alexandria via LeMat-Bulk describes a relaxed structure of LiU3Ag3S8. The functional is PBE.

```
data_LiU3Ag3S8
_cell_length_a 7.9344
_cell_length_b 7.9344
_cell_length_c 18.0642
_cell_angle_alpha 90.00
_cell_angle_beta 90.00
_cell_angle_gamma 120.00
_space_group_name_H-M_alt 'R -3 m'
_space_group_IT_number 166
_space_group_name_Hall '-R 3 2"'
loop_
_atom_site_label
_atom_site_type_symbol
_atom_site_fract_x
_atom_site_fract_y
_atom_site_fract_z
_atom_site_occupancy
Li1 Li 0.0000 0.0000 0.0000 1
U1 U 0.0000 0.5000 0.0000 1
Ag1 Ag 0.0000 0.5000 0.5000 1
S1 S 0.0000 0.0000 0.2509 1
S2 S 0.0051 0.5025 0.2555 1
```

Results
- total DFT energy (no corrections) (eV per atom) = -6.08
- formation energy without anion corrections (kJ/mol of formula units) = -1333

***

This record from Alexandria via LeMat-Bulk describes a relaxed structure of KTiIn. The functional is PBE.

```
data_KTiIn
_cell_length_a 4.602
_cell_length_b 4.604
_cell_length_c 11.971
_cell_angle_alpha 79.61
_cell_angle_beta 89.97
_cell_angle_gamma 60.02
_space_group_name_H-M_alt 'P -1'
_space_group_IT_number 2
loop_
_space_group_symop_operation_xyz
'x,y,z'
'-x,-y,-z'
loop_
_atom_site_label
_atom_site_type_symbol
_atom_site_fract_x
_atom_site_fract_y
_atom_site_fract_z
_atom_site_occupancy
K1 K 0.230 0.041 0.173 1
Ti1 Ti 0.351 0.799 0.502 1
In1 In 0.041 0.419 0.624 1
```

Results
- total DFT energy (no corrections) (eV per atom) = -3.77
- E above lowest polymorph (eV/atom) = 0.0993
- ΔH_f (0 K) (meV per atom) = 139.6

***

This record from Alexandria via LeMat-Bulk describes a relaxed structure of GaFe5Co6. The functional is PBE.

```
data_GaFe5Co6
_cell_length_a 4.035
_cell_length_b 5.707
_cell_length_c 12.099
_cell_angle_alpha 90.00
_cell_angle_beta 90.00
_cell_angle_gamma 90.00
_space_group_name_H-M_alt 'I m m m'
_space_group_IT_number 71
_space_group_name_Hall '-I 2 2'
loop_
_atom_site_label
_atom_site_type_symbol
_atom_site_fract_x
_atom_site_fract_y
_atom_site_fract_z
_atom_site_occupancy
Ga1 Ga 0.000 0.000 0.000 1
Fe1 Fe 0.000 0.000 0.333 1
Fe2 Fe 0.000 0.500 0.000 1
Fe3 Fe 0.000 0.500 0.334 1
Co1 Co 0.000 0.245 0.500 1
Co2 Co 0.000 0.253 0.169 1
```

Results
- total DFT energy (no corrections) (eV per atom) = -7.44
- ΔH_f (0 K) (meV per atom) = -110.4

***

This record from Alexandria via LeMat-Bulk describes a relaxed structure of U2CoN. The functional is PBE.

```
data_U2CoN
_cell_length_a 3.2994
_cell_length_b 3.2994
_cell_length_c 20.0024
_cell_angle_alpha 90.00
_cell_angle_beta 90.00
_cell_angle_gamma 120.00
_space_group_name_H-M_alt 'R -3 m'
_space_group_IT_number 166
_space_group_name_Hall '-R 3 2"'
loop_
_atom_site_label
_atom_site_type_symbol
_atom_site_fract_x
_atom_site_fract_y
_atom_site_fract_z
_atom_site_occupancy
U1 U 0.0000 0.0000 0.2399 1
Co1 Co 0.0000 0.0000 0.0000 1
N1 N 0.0000 0.0000 0.5000 1
```

Results
- total DFT energy (no corrections) (eV per atom) = -9.98
- formation energy without anion corrections (kJ/mol of formula units) = -186